# NdDyI6 PBE-GGA optimized geometry
# DOS at the Fermi energy: 0.0 states/eV/f.u.
# energy relative to the elements, uncorrected: -1.3400 eV per atom
# excess energy over the best structure of this formula in the dataset: 0.022 eV per atom
data_NdDyI6
_symmetry_space_group_name_H-M 'R -3'
_symmetry_Int_Tables_number 148
_symmetry_space_group_name_Hall '-R 3'
_cell_length_a 7.7135
_cell_length_b 7.7135
_cell_length_c 20.9470
_cell_angle_alpha 90.00
_cell_angle_beta 90.00
_cell_angle_gamma 120.00
loop_
_atom_site_label
_atom_site_fract_x
_atom_site_fract_y
_atom_site_fract_z
Nd1 0.0000 0.0000 0.0000
Dy1 0.0000 0.0000 0.5000
I1 0.0019 0.3266 0.5821

# Nd2DyI PBE-GGA optimized geometry
# DOS at the Fermi energy: 4.2 states/eV/f.u.
# energy relative to the elements, uncorrected: -0.3825 eV per atom
# excess energy over the best structure of this formula in the dataset: 0.006 eV per atom
data_Nd2DyI
_symmetry_space_group_name_H-M 'R -3 m'
_symmetry_Int_Tables_number 166
_symmetry_space_group_name_Hall '-R 3 2"'
_cell_length_a 3.7990
_cell_length_b 3.7990
_cell_length_c 32.4735
_cell_angle_alpha 90.00
_cell_angle_beta 90.00
_cell_angle_gamma 120.00
loop_
_atom_site_label
_atom_site_fract_x
_atom_site_fract_y
_atom_site_fract_z
Nd1 0.0000 0.0000 0.2456
Dy1 0.0000 0.0000 0.0000
I1 0.0000 0.0000 0.5000

# NdDyI PBE-GGA optimized geometry
# DOS at the Fermi energy: 3.3 states/eV/f.u.
# energy relative to the elements, uncorrected: -0.4430 eV per atom
# excess energy over the best structure of this formula in the dataset: 0.092 eV per atom
data_NdDyI
_symmetry_space_group_name_H-M 'C m c m'
_symmetry_Int_Tables_number 63
_symmetry_space_group_name_Hall '-C 2c 2'
_cell_length_a 3.726
_cell_length_b 19.356
_cell_length_c 5.585
_cell_angle_alpha 90.00
_cell_angle_beta 90.00
_cell_angle_gamma 90.00
loop_
_atom_site_label
_atom_site_fract_x
_atom_site_fract_y
_atom_site_fract_z
Nd1 0.000 0.131 0.250
Dy1 0.000 0.469 0.250
I1 0.000 0.308 0.250

# Nd2DyI6 PBE-GGA optimized geometry
# DOS at the Fermi energy: 5.4 states/eV/f.u.
# energy relative to the elements, uncorrected: -1.1524 eV per atom
data_Nd2DyI6
_symmetry_space_group_name_H-M 'P 42/m n m'
_symmetry_Int_Tables_number 136
_symmetry_space_group_name_Hall '-P 4n 2n'
_cell_length_a 7.911
_cell_length_b 7.911
_cell_length_c 12.117
_cell_angle_alpha 90.00
_cell_angle_beta 90.00
_cell_angle_gamma 90.00
loop_
_atom_site_label
_atom_site_fract_x
_atom_site_fract_y
_atom_site_fract_z
Nd1 0.000 0.000 0.157
Dy1 0.000 0.000 0.500
I1 0.211 0.211 0.336
I2 0.225 0.225 0.000

# NdDyPI PBE-GGA optimized geometry
# DOS at the Fermi energy: 0.7 states/eV/f.u.
# energy relative to the elements, uncorrected: -1.3432 eV per atom
data_NdDyPI
_symmetry_space_group_name_H-M 'R 3 m'
_symmetry_Int_Tables_number 160
_symmetry_space_group_name_Hall 'R 3 -2"'
_cell_length_a 4.1182
_cell_length_b 4.1182
_cell_length_c 22.7436
_cell_angle_alpha 90.00
_cell_angle_beta 90.00
_cell_angle_gamma 120.00
loop_
_atom_site_label
_atom_site_fract_x
_atom_site_fract_y
_atom_site_fract_z
Nd1 0.0000 0.0000 0.0000
Dy1 0.0000 0.0000 0.2052
P1 0.0000 0.0000 0.5968
I1 0.0000 0.0000 0.7729

# NdDyPtI PBE-GGA optimized geometry
# DOS at the Fermi energy: 3.3 states/eV/f.u.
# energy relative to the elements, uncorrected: -1.1112 eV per atom
data_NdDyPtI
_symmetry_space_group_name_H-M 'R 3 m'
_symmetry_Int_Tables_number 160
_symmetry_space_group_name_Hall 'R 3 -2"'
_cell_length_a 4.2040
_cell_length_b 4.2040
_cell_length_c 24.1253
_cell_angle_alpha 90.00
_cell_angle_beta 90.00
_cell_angle_gamma 120.00
loop_
_atom_site_label
_atom_site_fract_x
_atom_site_fract_y
_atom_site_fract_z
Nd1 0.0000 0.0000 0.0000
Dy1 0.0000 0.0000 0.2102
Pt1 0.0000 0.0000 0.6017
I1 0.0000 0.0000 0.7747

# DyNiI2 PBE-GGA optimized geometry
# DOS at the Fermi energy: 4.1 states/eV/f.u.
# energy relative to the elements, uncorrected: -0.0450 eV per atom
data_DyNiI2
_symmetry_space_group_name_H-M 'R -3 m'
_symmetry_Int_Tables_number 166
_symmetry_space_group_name_Hall '-R 3 2"'
_cell_length_a 3.9377
_cell_length_b 3.9377
_cell_length_c 27.1488
_cell_angle_alpha 90.00
_cell_angle_beta 90.00
_cell_angle_gamma 120.00
loop_
_atom_site_label
_atom_site_fract_x
_atom_site_fract_y
_atom_site_fract_z
Dy1 0.0000 0.0000 0.0000
Ni1 0.0000 0.0000 0.5000
I1 0.0000 0.0000 0.1108

# Dy3NiI3 PBE-GGA optimized geometry
# DOS at the Fermi energy: 5.0 states/eV/f.u.
# energy relative to the elements, uncorrected: -0.9396 eV per atom
data_Dy3NiI3
_symmetry_space_group_name_H-M 'P 1 21/m 1'
_symmetry_Int_Tables_number 11
_cell_length_a 9.011
_cell_length_b 4.070
_cell_length_c 12.218
_cell_angle_alpha 90.00
_cell_angle_beta 92.35
_cell_angle_gamma 90.00
loop_
_symmetry_equiv_pos_as_xyz
'x,y,z'
'-x,-y,-z'
'-x,y+1/2,-z'
'x,-y+1/2,z'
loop_
_atom_site_label
_atom_site_fract_x
_atom_site_fract_y
_atom_site_fract_z
Dy1 0.101 0.250 0.385
Dy2 0.111 0.250 0.830
Dy3 0.292 0.750 0.616
Ni1 0.099 0.250 0.615
I1 0.141 0.250 0.112
I2 0.372 0.750 0.873
I3 0.396 0.750 0.367

# PrDyNiI PBE-GGA optimized geometry
# DOS at the Fermi energy: 3.2 states/eV/f.u.
# energy relative to the elements, uncorrected: -0.6568 eV per atom
data_PrDyNiI
_symmetry_space_group_name_H-M 'R 3 m'
_symmetry_Int_Tables_number 160
_symmetry_space_group_name_Hall 'R 3 -2"'
_cell_length_a 4.0822
_cell_length_b 4.0822
_cell_length_c 23.9638
_cell_angle_alpha 90.00
_cell_angle_beta 90.00
_cell_angle_gamma 120.00
loop_
_atom_site_label
_atom_site_fract_x
_atom_site_fract_y
_atom_site_fract_z
Pr1 0.0000 0.0000 0.0000
Dy1 0.0000 0.0000 0.7876
Ni1 0.0000 0.0000 0.3966
I1 0.0000 0.0000 0.2232

# DyNpI6 PBE-GGA optimized geometry
# DOS at the Fermi energy: 3.8 states/eV/f.u.
# energy relative to the elements, uncorrected: -1.0902 eV per atom
data_DyNpI6
_symmetry_space_group_name_H-M 'C 1 2/m 1'
_symmetry_Int_Tables_number 12
_cell_length_a 7.592
_cell_length_b 14.341
_cell_length_c 7.563
_cell_angle_alpha 90.00
_cell_angle_beta 108.10
_cell_angle_gamma 90.00
loop_
_symmetry_equiv_pos_as_xyz
'x,y,z'
'-x,-y,-z'
'-x,y,-z'
'x,-y,z'
'x+1/2,y+1/2,z'
'-x+1/2,-y+1/2,-z'
'-x+1/2,y+1/2,-z'
'x+1/2,-y+1/2,z'
loop_
_atom_site_label
_atom_site_fract_x
_atom_site_fract_y
_atom_site_fract_z
Dy1 0.000 0.000 0.000
Np1 0.000 0.500 0.500
I1 0.242 0.149 0.245
I2 0.249 0.000 0.753

# Dy6IO12 PBE-GGA optimized geometry
# DOS at the Fermi energy: 4.2 states/eV/f.u.
# energy relative to the elements, uncorrected: -2.9420 eV per atom
data_Dy6IO12
_symmetry_space_group_name_H-M 'R -3'
_symmetry_Int_Tables_number 148
_symmetry_space_group_name_Hall '-R 3'
_cell_length_a 9.8982
_cell_length_b 9.8982
_cell_length_c 9.4510
_cell_angle_alpha 90.00
_cell_angle_beta 90.00
_cell_angle_gamma 120.00
loop_
_atom_site_label
_atom_site_fract_x
_atom_site_fract_y
_atom_site_fract_z
Dy1 0.0402 0.2529 0.1419
I1 0.0000 0.0000 0.5000
O1 0.0320 0.2230 0.9005
O2 0.0430 0.1930 0.3878

# Dy2I2O PBE-GGA optimized geometry
# DOS at the Fermi energy: 1.8 states/eV/f.u.
# energy relative to the elements, uncorrected: -1.9389 eV per atom
data_Dy2I2O
_symmetry_space_group_name_H-M 'C 1 2/m 1'
_symmetry_Int_Tables_number 12
_cell_length_a 22.854
_cell_length_b 3.979
_cell_length_c 7.010
_cell_angle_alpha 90.00
_cell_angle_beta 95.34
_cell_angle_gamma 90.00
loop_
_symmetry_equiv_pos_as_xyz
'x,y,z'
'-x,-y,-z'
'-x,y,-z'
'x,-y,z'
'x+1/2,y+1/2,z'
'-x+1/2,-y+1/2,-z'
'-x+1/2,y+1/2,-z'
'x+1/2,-y+1/2,z'
loop_
_atom_site_label
_atom_site_fract_x
_atom_site_fract_y
_atom_site_fract_z
Dy1 0.188 0.000 0.378
Dy2 0.189 0.500 0.919
I1 0.091 0.500 0.202
I2 0.100 0.000 0.696
O1 0.213 0.000 0.076

# DyIO PBE-GGA optimized geometry
# DOS at the Fermi energy: 0.0 states/eV/f.u.
# energy relative to the elements, uncorrected: -2.4399 eV per atom
data_DyIO
_symmetry_space_group_name_H-M 'P 3 m 1'
_symmetry_Int_Tables_number 156
_cell_length_a 3.7922
_cell_length_b 3.7922
_cell_length_c 5.9216
_cell_angle_alpha 90.00
_cell_angle_beta 90.00
_cell_angle_gamma 120.00
loop_
_symmetry_equiv_pos_as_xyz
'x,y,z'
'-y,x-y,z'
'-x+y,-x,z'
'-y,-x,z'
'-x+y,y,z'
'x,x-y,z'
loop_
_atom_site_label
_atom_site_fract_x
_atom_site_fract_y
_atom_site_fract_z
Dy1 0.0000 0.0000 0.0000
I1 0.3333 0.6667 0.6139
O1 0.6667 0.3333 0.0775

# DyIO PBE-GGA optimized geometry
# DOS at the Fermi energy: 0.0 states/eV/f.u.
# energy relative to the elements, uncorrected: -2.5154 eV per atom
data_DyIO
_symmetry_space_group_name_H-M 'P m n 21'
_symmetry_Int_Tables_number 31
_cell_length_a 3.847
_cell_length_b 6.646
_cell_length_c 5.971
_cell_angle_alpha 90.00
_cell_angle_beta 90.00
_cell_angle_gamma 90.00
loop_
_symmetry_equiv_pos_as_xyz
'x,y,z'
'-x+1/2,-y,z+1/2'
'-x,y,z'
'x+1/2,-y,z+1/2'
loop_
_atom_site_label
_atom_site_fract_x
_atom_site_fract_y
_atom_site_fract_z
Dy1 0.000 0.097 0.000
I1 0.000 0.634 0.795
O1 0.000 0.933 0.315

# Dy4IO10 PBE-GGA optimized geometry
# DOS at the Fermi energy: 10.1 states/eV/f.u.
# energy relative to the elements, uncorrected: -2.3035 eV per atom
data_Dy4IO10
_symmetry_space_group_name_H-M 'I 4/m'
_symmetry_Int_Tables_number 87
_symmetry_space_group_name_Hall '-I 4'
_cell_length_a 8.394
_cell_length_b 8.394
_cell_length_c 5.409
_cell_angle_alpha 90.00
_cell_angle_beta 90.00
_cell_angle_gamma 90.00
loop_
_atom_site_label
_atom_site_fract_x
_atom_site_fract_y
_atom_site_fract_z
Dy1 0.097 0.694 0.000
I1 0.000 0.000 0.500
O1 0.000 0.500 0.250
O2 0.100 0.182 0.272

# DyIO PBE-GGA optimized geometry
# DOS at the Fermi energy: 0.1 states/eV/f.u.
# energy relative to the elements, uncorrected: -2.2036 eV per atom
data_DyIO
_symmetry_space_group_name_H-M 'I 4/m m m'
_symmetry_Int_Tables_number 139
_symmetry_space_group_name_Hall '-I 4 2'
_cell_length_a 3.777
_cell_length_b 3.777
_cell_length_c 21.285
_cell_angle_alpha 90.00
_cell_angle_beta 90.00
_cell_angle_gamma 90.00
loop_
_atom_site_label
_atom_site_fract_x
_atom_site_fract_y
_atom_site_fract_z
Dy1 0.000 0.000 0.065
I1 0.000 0.000 0.346
O1 0.000 0.500 0.000

# Dy2I3O PBE-GGA optimized geometry
# energy relative to the elements, uncorrected: -1.9781 eV per atom
data_Dy2I3O
_symmetry_space_group_name_H-M 'C 1 2/m 1'
_symmetry_Int_Tables_number 12
_cell_length_a 21.228
_cell_length_b 4.060
_cell_length_c 11.469
_cell_angle_alpha 90.00
_cell_angle_beta 112.75
_cell_angle_gamma 90.00
loop_
_symmetry_equiv_pos_as_xyz
'x,y,z'
'-x,-y,-z'
'-x,y,-z'
'x,-y,z'
'x+1/2,y+1/2,z'
'-x+1/2,-y+1/2,-z'
'-x+1/2,y+1/2,-z'
'x+1/2,-y+1/2,z'
loop_
_atom_site_label
_atom_site_fract_x
_atom_site_fract_y
_atom_site_fract_z
Dy1 0.069 0.000 0.471
Dy2 0.072 0.500 0.739
I1 0.072 0.500 0.259
I2 0.138 0.000 0.957
I3 0.186 0.500 0.634
O1 0.044 0.000 0.643

# Pm2DyIO8 PBE-GGA optimized geometry
# DOS at the Fermi energy: 0.0 states/eV/f.u.
# energy relative to the elements, uncorrected: -2.2781 eV per atom
data_Pm2DyIO8
_symmetry_space_group_name_H-M 'C m m m'
_symmetry_Int_Tables_number 65
_symmetry_space_group_name_Hall '-C 2 2'
_cell_length_a 7.199
_cell_length_b 7.332
_cell_length_c 6.936
_cell_angle_alpha 90.00
_cell_angle_beta 90.00
_cell_angle_gamma 90.00
loop_
_atom_site_label
_atom_site_fract_x
_atom_site_fract_y
_atom_site_fract_z
Pm1 0.000 0.000 0.249
Dy1 0.000 0.500 0.500
I1 0.000 0.500 0.000
O1 0.000 0.324 0.206
O2 0.196 0.000 0.500
O3 0.238 0.000 0.000

# PmDyIO6 PBE-GGA optimized geometry
# DOS at the Fermi energy: 4.6 states/eV/f.u.
# energy relative to the elements, uncorrected: -2.0274 eV per atom
data_PmDyIO6
_symmetry_space_group_name_H-M 'P -3 1 c'
_symmetry_Int_Tables_number 163
_symmetry_space_group_name_Hall '-P 3 2c'
_cell_length_a 5.6511
_cell_length_b 5.6511
_cell_length_c 9.8074
_cell_angle_alpha 90.00
_cell_angle_beta 90.00
_cell_angle_gamma 120.00
loop_
_atom_site_label
_atom_site_fract_x
_atom_site_fract_y
_atom_site_fract_z
Pm1 0.0000 0.0000 0.0000
Dy1 0.3333 0.6667 0.2500
I1 0.3333 0.6667 0.7500
O1 0.0350 0.3688 0.6365

# PrDy2IO8 PBE-GGA optimized geometry
# energy relative to the elements, uncorrected: -2.2948 eV per atom
data_PrDy2IO8
_symmetry_space_group_name_H-M 'C m m m'
_symmetry_Int_Tables_number 65
_symmetry_space_group_name_Hall '-C 2 2'
_cell_length_a 7.139
_cell_length_b 7.189
_cell_length_c 6.985
_cell_angle_alpha 90.00
_cell_angle_beta 90.00
_cell_angle_gamma 90.00
loop_
_atom_site_label
_atom_site_fract_x
_atom_site_fract_y
_atom_site_fract_z
Pr1 0.000 0.000 0.000
Dy1 0.000 0.500 0.250
I1 0.000 0.000 0.500
O1 0.000 0.265 0.500
O2 0.000 0.318 0.000
O3 0.183 0.000 0.300

# Rb2DyIO6 PBE-GGA optimized geometry
# DOS at the Fermi energy: 0.0 states/eV/f.u.
# energy relative to the elements, uncorrected: -1.5381 eV per atom
data_Rb2DyIO6
_symmetry_space_group_name_H-M 'P -3 m 1'
_symmetry_Int_Tables_number 164
_symmetry_space_group_name_Hall '-P 3 2"'
_cell_length_a 6.5582
_cell_length_b 6.5582
_cell_length_c 5.8599
_cell_angle_alpha 90.00
_cell_angle_beta 90.00
_cell_angle_gamma 120.00
loop_
_atom_site_label
_atom_site_fract_x
_atom_site_fract_y
_atom_site_fract_z
Rb1 0.3333 0.6667 0.1123
Dy1 0.0000 0.0000 0.5000
I1 0.0000 0.0000 0.0000
O1 0.1340 0.2681 0.7992

# RbDyI2O8 PBE-GGA optimized geometry
# DOS at the Fermi energy: 3.6 states/eV/f.u.
# energy relative to the elements, uncorrected: -1.0689 eV per atom
data_RbDyI2O8
_symmetry_space_group_name_H-M 'P -3 m 1'
_symmetry_Int_Tables_number 164
_symmetry_space_group_name_Hall '-P 3 2"'
_cell_length_a 6.2722
_cell_length_b 6.2722
_cell_length_c 8.0935
_cell_angle_alpha 90.00
_cell_angle_beta 90.00
_cell_angle_gamma 120.00
loop_
_atom_site_label
_atom_site_fract_x
_atom_site_fract_y
_atom_site_fract_z
Rb1 0.0000 0.0000 0.0000
Dy1 0.0000 0.0000 0.5000
I1 0.3333 0.6667 0.2829
O1 0.1604 0.3208 0.3229
O2 0.3333 0.6667 0.0622

# RbDyIO6 PBE-GGA optimized geometry
# DOS at the Fermi energy: 6.3 states/eV/f.u.
# energy relative to the elements, uncorrected: -1.3883 eV per atom
data_RbDyIO6
_symmetry_space_group_name_H-M 'P 3 1 2'
_symmetry_Int_Tables_number 149
_cell_length_a 5.7377
_cell_length_b 5.7377
_cell_length_c 6.1162
_cell_angle_alpha 90.00
_cell_angle_beta 90.00
_cell_angle_gamma 120.00
loop_
_symmetry_equiv_pos_as_xyz
'x,y,z'
'-y,x-y,z'
'-x+y,-x,z'
'-y,-x,-z'
'-x+y,y,-z'
'x,x-y,-z'
loop_
_atom_site_label
_atom_site_fract_x
_atom_site_fract_y
_atom_site_fract_z
Rb1 0.0000 0.0000 0.0000
Dy1 0.6667 0.3333 0.5000
I1 0.3333 0.6667 0.5000
O1 0.0487 0.4098 0.3223